Material: Na2CuNiF8
Method: DFT, PBE with a Hubbard U
State: optimized geometry

Cell lengths 4.9226, 4.9418, 6.5849 Å; angles 85.35, 84.90, 85.09 degrees
Closest atoms and distances in Å follow each position.
Atoms (fractional coordinates):
Na 0.0004 0.0078 0.2556  6 F 2.23-2.42
Na 0.9996 0.9922 0.7444  6 F 2.23-2.42
Cu 0.5000 0.5000 0.0000  4 F 1.78-1.82
Ni 0.5000 0.5000 0.5000  4 F 1.81-1.82
F 0.2491 0.7831 0.9988  1 Cu 1.78
F 0.2528 0.7916 0.4931  1 Ni 1.81
F 0.2882 0.3365 0.7069  1 Ni 1.82
F 0.3262 0.3518 0.2322  1 Cu 1.82
F 0.6738 0.6482 0.7678  1 Cu 1.82
F 0.7118 0.6635 0.2931  1 Ni 1.82
F 0.7472 0.2084 0.5069  1 Ni 1.81
F 0.7509 0.2169 0.0012  1 Cu 1.78

Computed properties:
* electronic total energy: -3.996 eV per atom
* total moment: 0.09 μB per atom